Record 1
YPaTcPd | GGA-PBE | relaxed

Computed properties:
Formation energy = -329 meV/atom
Space group = No. 216

Cell: 4.9089 4.9089 4.9089 Å, 60.00 60.00 60.00°
Positions (direct):
Y 0.0000 0.0000 0.0000
Pa 0.5000 0.5000 0.5000
Tc 0.2500 0.2500 0.2500
Pd 0.7500 0.7500 0.7500

***

Record 2
PaZnTcPd | GGA-PBE | relaxed

Computed properties:
Formation energy = -258 meV/atom
Space group = No. 216

Cell: 4.6579 4.6579 4.6579 Å, 60.00 60.00 60.00°
Positions (direct):
Pa 0.0000 0.0000 0.0000
Zn 0.5000 0.5000 0.5000
Tc 0.2500 0.2500 0.2500
Pd 0.7500 0.7500 0.7500

***

Record 3
ZrPaTcPd | GGA-PBE | relaxed

Computed properties:
Formation energy = -340 meV/atom
Space group = No. 216

Cell: 4.8054 4.8054 4.8054 Å, 60.00 60.00 60.00°
Positions (direct):
Zr 0.0000 0.0000 0.0000
Pa 0.5000 0.5000 0.5000
Tc 0.7500 0.7500 0.7500
Pd 0.2500 0.2500 0.2500

***

Record 4
Pa2Te6Pd | GGA-PBE | relaxed

Computed properties:
Uncorrected formation energy = -518 meV per atom
Space group = No. 136

Cell: 7.2248 7.2248 12.2185 Å, 90.00 90.00 90.00°
Positions (direct):
Pa 0.0000 0.0000 0.1722
Pa 0.0000 0.0000 0.8278
Pa 0.5000 0.5000 0.3278
Pa 0.5000 0.5000 0.6722
Te 0.1996 0.1996 0.3482
Te 0.1996 0.1996 0.6518
Te 0.2020 0.2020 0.0000
Te 0.2980 0.7020 0.5000
Te 0.3004 0.6996 0.1518
Te 0.3004 0.6996 0.8482
Te 0.6996 0.3004 0.1518
Te 0.6996 0.3004 0.8482
Te 0.7020 0.2980 0.5000
Te 0.7980 0.7980 0.0000
Te 0.8004 0.8004 0.3482
Te 0.8004 0.8004 0.6518
Pd 0.0000 0.0000 0.5000
Pd 0.5000 0.5000 0.0000

***

Record 5
PaTe4Pd2 | GGA-PBE | relaxed

Computed properties:
Uncorrected formation energy = -451 meV per atom
Space group = No. 5

Cell: 7.9066 7.9066 8.2598 Å, 117.52 117.52 81.40°
Positions (direct):
Pa 0.0000 0.0000 0.0000
Pa 0.9977 0.0023 0.5000
Te 0.1823 0.7589 0.7278
Te 0.2411 0.8177 0.2722
Te 0.3131 0.3169 0.3343
Te 0.3153 0.3150 0.8341
Te 0.6831 0.6869 0.6657
Te 0.6850 0.6847 0.1659
Te 0.7554 0.1828 0.2263
Te 0.8172 0.2446 0.7737
Pd 0.0001 0.5027 0.7524
Pd 0.4973 0.9999 0.2476
Pd 0.4991 0.5007 0.2500
Pd 0.4993 0.5009 0.7500

***

Record 6
Pa2TePd | GGA-PBE | relaxed

Computed properties:
Uncorrected formation energy = 31 meV per atom
E above lowest polymorph = 45.5 kJ per mole of atoms
Space group = No. 166

Cell: 10.4288 10.4288 10.4288 Å, 18.52 18.52 18.52°
Positions (direct):
Pa 0.0863 0.0863 0.0863
Pa 0.9137 0.9137 0.9137
Te 0.5000 0.5000 0.5000
Pd 0.0000 0.0000 0.0000

***

Record 7
PaTePd | GGA-PBE | relaxed

Computed properties:
Uncorrected formation energy = -625 meV per atom
E above lowest polymorph = 0.0 kJ per mole of atoms
Space group = No. 63

Cell: 6.2341 6.2341 5.7623 Å, 90.00 90.00 138.38°
Positions (direct):
Pa 0.1018 0.8982 0.7500
Pa 0.8982 0.1018 0.2500
Te 0.1928 0.8072 0.2500
Te 0.8072 0.1928 0.7500
Pd 0.4620 0.5380 0.7500
Pd 0.5380 0.4620 0.2500

***

Record 8
PaTe6Pd5 | GGA-PBE | relaxed

Computed properties:
Uncorrected formation energy = -399 meV per atom
Space group = No. 12

Cell: 6.9426 6.9426 7.0064 Å, 99.37 99.37 119.10°
Positions (direct):
Pa 0.0000 0.0000 0.0000
Te 0.0886 0.4462 0.2609
Te 0.2752 0.2752 0.7439
Te 0.4462 0.0886 0.2609
Te 0.5538 0.9114 0.7391
Te 0.7248 0.7248 0.2561
Te 0.9114 0.5538 0.7391
Pd 0.1492 0.8508 0.5000
Pd 0.3300 0.6700 0.0000
Pd 0.5000 0.5000 0.5000
Pd 0.6700 0.3300 0.0000
Pd 0.8508 0.1492 0.5000

***

Record 9
PaTePd | GGA-PBE | relaxed

Computed properties:
Uncorrected formation energy = -606 meV per atom
E above lowest polymorph = 1.9 kJ per mole of atoms
Space group = No. 107

Cell: 5.6373 5.6373 5.6373 Å, 141.63 141.63 55.39°
Positions (direct):
Pa 0.0000 0.0000 0.0000
Te 0.3210 0.3210 0.0000
Pd 0.6495 0.6495 0.0000

***

Record 10
PaTePd4 | GGA-PBE | relaxed

Computed properties:
Uncorrected formation energy = -508 meV per atom
Space group = No. 216

Cell: 5.4173 5.4173 5.4173 Å, 60.00 60.00 60.00°
Positions (direct):
Pa 0.0000 0.0000 0.0000
Te 0.2500 0.2500 0.2500
Pd 0.1227 0.6258 0.6258
Pd 0.6258 0.1227 0.6258
Pd 0.6258 0.6258 0.1227
Pd 0.6258 0.6258 0.6258

***

Record 11
Pa6Te12Pd | GGA-PBE | relaxed

Computed properties:
Uncorrected formation energy = -671 meV per atom
Space group = No. 148

Cell: 8.7733 8.7733 8.7733 Å, 101.13 101.13 101.13°
Positions (direct):
Pa 0.1339 0.8009 0.6282
Pa 0.1991 0.3718 0.8661
Pa 0.3718 0.8661 0.1991
Pa 0.6282 0.1339 0.8009
Pa 0.8009 0.6282 0.1339
Pa 0.8661 0.1991 0.3718
Te 0.0589 0.6758 0.9194
Te 0.0806 0.9411 0.3242
Te 0.1861 0.4424 0.5376
Te 0.3242 0.0806 0.9411
Te 0.4424 0.5376 0.1861
Te 0.4624 0.8139 0.5576
Te 0.5376 0.1861 0.4424
Te 0.5576 0.4624 0.8139
Te 0.6758 0.9194 0.0589
Te 0.8139 0.5576 0.4624
Te 0.9194 0.0589 0.6758
Te 0.9411 0.3242 0.0806
Pd 0.5000 0.5000 0.5000

***

Record 12
PaTe6Pd2 | GGA-PBE | relaxed

Computed properties:
Uncorrected formation energy = -375 meV per atom
Space group = No. 15

Cell: 8.2140 8.2140 8.1399 Å, 91.67 91.67 78.55°
Positions (direct):
Pa 0.1748 0.8252 0.7500
Pa 0.8252 0.1748 0.2500
Te 0.0447 0.5119 0.8240
Te 0.0661 0.1552 0.5595
Te 0.1552 0.0661 0.0595
Te 0.3366 0.4750 0.5763
Te 0.4750 0.3366 0.0763
Te 0.4881 0.9553 0.6760
Te 0.5119 0.0447 0.3240
Te 0.5250 0.6634 0.9237
Te 0.6634 0.5250 0.4237
Te 0.8448 0.9339 0.9405
Te 0.9339 0.8448 0.4405
Te 0.9553 0.4881 0.1760
Pd 0.2353 0.2889 0.3115
Pd 0.2889 0.2353 0.8115
Pd 0.7111 0.7647 0.1885
Pd 0.7647 0.7111 0.6885